First-principles (GGA+U) data for a geometry-optimized Ce3VO7 structure, as listed in the Alexandria database.

Summary:
Raw total energy (eV/atom): -8.567
Crystal system: orthorhombic
Calculated density (kg/m³): 6341

Cell: 7.6248 10.6465 7.5265 Å, 90.00 90.00 90.00°
With the nearest neighbours (Å) after each atom.
Space group Cmcm (No. 63)
Inequivalent atoms, fractional coordinates:
Ce 0.0000 0.0000 0.0000 [4 per cell]  8 O 2.34-2.56
Ce 0.2325 0.2660 0.2500 [8 per cell]  7 O 2.26-2.45
V 0.0000 0.5000 0.0000 [4 per cell]  6 O 2.05-2.11
O 0.0000 0.1310 0.7500 [4 per cell]  4 Ce 2.32-2.34
O 0.0000 0.1339 0.2500 [4 per cell]  4 Ce 2.26-2.36
O 0.0000 0.4245 0.2500 [4 per cell]  2 V 2.05
O 0.2138 0.3757 0.5271 [16 per cell]  1 V 2.11, 1 Ce 2.29